## Sm2CrBiO6 (PBE with a Hubbard U)

Data for an optimized crystal structure of Sm2CrBiO6.

Values from the calculation:
For the volume, the calculation gives 158 Å³/cell. The crystal system is tetragonal. The calculation puts the total energy at -7.27 eV per atom.

Geometry as CIF:
```
data_Sm2CrBiO6
_chemical_formula_sum 'Sm2 Cr1 Bi1 O6'
_symmetry_space_group_name_H-M 'P 4 m m'
_symmetry_Int_Tables_number 99
_cell_length_a 5.4573
_cell_length_b 5.4573
_cell_length_c 5.3217
_cell_angle_alpha 90.00
_cell_angle_beta 90.00
_cell_angle_gamma 90.00
loop_
_symmetry_equiv_pos_as_xyz
'x,y,z'
'-y,x,z'
'-x,-y,z'
'y,-x,z'
'-x,y,z'
'y,x,z'
'x,-y,z'
'-y,-x,z'
loop_
_atom_site_label
_atom_site_fract_x
_atom_site_fract_y
_atom_site_fract_z
_atom_site_occupancy
Sm1 0.0000 0.5000 0.0000 1
Cr1 0.0000 0.0000 0.6213 1
Bi1 0.5000 0.5000 0.5615 1
O1 0.0000 0.0000 0.2529 1
O2 0.2387 0.2387 0.7540 1
O3 0.5000 0.5000 0.1340 1
```